Density functional theory data (PBE-GGA) for crystalline NaPt at its relaxed geometry.

Cell lengths 10.624, 10.624, 10.624 Å; angles 15.52, 15.52, 15.52 degrees
Element x y z (fractional)
Pt 0.496 0.496 0.496
Pt 0.754 0.754 0.754
Na 0.011 0.011 0.011
Na 0.239 0.239 0.239

V ... 74.8 Å³ per cell
Space-group type ... No. 166
Formation energy ... 71 meV per atom
Magnetic moment ... 0.00 μB/f.u.

***

Density functional theory data (PBE-GGA) for crystalline CsLi2HfBr8 at its relaxed geometry.

Cell lengths 6.984, 6.085, 10.017 Å; angles 68.77, 88.54, 93.37 degrees
Element x y z (fractional)
Br 0.498 0.735 0.519
Br 0.203 0.866 0.831
Br 0.311 0.260 0.021
Br 0.689 0.740 0.979
Br 0.502 0.265 0.481
Br 0.797 0.134 0.169
Br 0.114 0.654 0.228
Br 0.886 0.346 0.772
Li 0.449 0.488 0.202
Li 0.551 0.512 0.798
Hf 0.000 0.000 0.000
Cs 0.000 0.000 0.500

V ... 395.6 Å³ per cell
Space-group type ... No. 2
Magnetic moment ... 0.00 μB/f.u.
Uncorrected formation energy ... -1345 meV/atom

***

Density functional theory data (PBE-GGA) for crystalline LiTmHgAu at its relaxed geometry.

Cell lengths 4.890, 4.890, 4.890 Å; angles 60.00, 60.00, 60.00 degrees
Element x y z (fractional)
Tm 0.750 0.750 0.750
Au 0.000 0.000 0.000
Li 0.250 0.250 0.250
Hg 0.500 0.500 0.500

V ... 82.7 Å³ per cell
Space-group type ... No. 216
Formation energy ... -553 meV per atom
Magnetic moment ... 0.00 μB/f.u.

***

Density functional theory data (PBE-GGA) for crystalline Pm2HoTh4 at its relaxed geometry.

Cell lengths 3.578, 3.579, 18.239 Å; angles 90.00, 95.63, 90.00 degrees
Element x y z (fractional)
Th 0.363 0.000 0.725
Th 0.070 0.500 0.140
Th 0.637 0.000 0.275
Th 0.930 0.500 0.860
Pm 0.794 0.500 0.588
Pm 0.206 0.500 0.412
Ho 0.500 0.000 0.000

V ... 232.4 Å³ per cell
Space-group type ... No. 65
Formation energy ... 75 meV per atom
Magnetic moment ... 0.00 μB/f.u.

***

Density functional theory data (PBE-GGA) for crystalline TlRhBr2 at its relaxed geometry.

Cell lengths 3.731, 3.731, 8.270 Å; angles 90.00, 90.00, 90.00 degrees
Element x y z (fractional)
Rh 0.000 0.000 0.324
Br 0.000 0.000 0.009
Br 0.500 0.500 0.374
Tl 0.500 0.500 0.793

V ... 115.1 Å³ per cell
Energy above the most stable polymorph in this dataset ... 250.0 meV per atom
Space-group type ... No. 99
Magnetic moment ... 1.29 μB/f.u.
Uncorrected formation energy ... -48 meV/atom

***

Density functional theory data (PBE-GGA) for crystalline CsKCoCl6 at its relaxed geometry.

Cell lengths 7.404, 7.408, 6.821 Å; angles 90.02, 90.03, 60.00 degrees
Element x y z (fractional)
Cl 0.580 0.336 0.692
Cl 0.085 0.580 0.693
Cl 0.084 0.335 0.308
Cl 0.336 0.085 0.693
Cl 0.335 0.580 0.307
Cl 0.580 0.085 0.307
Co 0.333 0.333 0.500
K 0.666 0.667 0.500
Cs 0.000 0.000 0.000

V ... 324.0 Å³ per cell
Space-group type ... No. 149
Magnetic moment ... 1.20 μB/f.u.
Uncorrected formation energy ... -1082 meV/atom